Material: ThMg6Tl4
Method: DFT, PBE
State: relaxed

- Symmetry: No. 187
- Density: 7.11 g/cm³
- E: -26.67 eV per cell
- Formation energy: -0.46 kcal/mol of atoms

Cell: 3.6434 9.4060 9.4060 Å, 120.00 90.00 90.00°
Positions (direct):
Th  0.0000  0.0000  0.0000
Mg  0.0000  0.5289  0.0578
Mg  0.5000  0.6186  0.8093
Mg  0.0000  0.5289  0.4711
Mg  0.0000  0.9422  0.4711
Mg  0.5000  0.1907  0.8093
Mg  0.5000  0.1907  0.3814
Tl  0.5000  0.8254  0.6508
Tl  0.5000  0.3492  0.1746
Tl  0.5000  0.8254  0.1746
Tl  0.0000  0.3333  0.6667